Entry i
The following is a DFT calculation (PBEsol) of a relaxed BaLiAs2 crystal.

```
data_BaLiAs2
_chemical_formula_sum 'Ba4 Li4 As8'
_symmetry_space_group_name_H-M 'F -4 3 m'
_symmetry_Int_Tables_number 216
_symmetry_space_group_name_Hall 'F -4 2 3'
_cell_length_a 7.232
_cell_length_b 7.232
_cell_length_c 7.232
_cell_angle_alpha 90.00
_cell_angle_beta 90.00
_cell_angle_gamma 90.00
loop_
_atom_site_label
_atom_site_fract_x
_atom_site_fract_y
_atom_site_fract_z
_atom_site_occupancy
Ba1 0.000 0.000 0.000 1
Li1 0.250 0.250 0.750 1
As1 0.000 0.000 0.500 1
As2 0.250 0.250 0.250 1
```

***

Entry ii
The following is a DFT calculation (PBEsol) of a relaxed BaLiAs2 crystal.

```
data_BaLiAs2
_chemical_formula_sum 'Ba1 Li1 As2'
_symmetry_space_group_name_H-M 'P 4/m m m'
_symmetry_Int_Tables_number 123
_symmetry_space_group_name_Hall '-P 4 2'
_cell_length_a 3.795
_cell_length_b 3.795
_cell_length_c 6.536
_cell_angle_alpha 90.00
_cell_angle_beta 90.00
_cell_angle_gamma 90.00
loop_
_atom_site_label
_atom_site_fract_x
_atom_site_fract_y
_atom_site_fract_z
_atom_site_occupancy
Ba1 0.000 0.000 0.000 1
Li1 0.000 0.000 0.500 1
As1 0.500 0.500 0.318 1
```

***

Entry iii
The following is a DFT calculation (PBEsol) of a relaxed BaLiAs2 crystal.

```
data_BaLiAs2
_chemical_formula_sum 'Ba1 Li1 As2'
_symmetry_space_group_name_H-M 'P 4 m m'
_symmetry_Int_Tables_number 99
_cell_length_a 3.715
_cell_length_b 3.715
_cell_length_c 7.004
_cell_angle_alpha 90.00
_cell_angle_beta 90.00
_cell_angle_gamma 90.00
loop_
_symmetry_equiv_pos_as_xyz
'x,y,z'
'-y,x,z'
'-x,-y,z'
'y,-x,z'
'-x,y,z'
'y,x,z'
'x,-y,z'
'-y,-x,z'
loop_
_atom_site_label
_atom_site_fract_x
_atom_site_fract_y
_atom_site_fract_z
_atom_site_occupancy
Ba1 0.000 0.000 0.000 1
Li1 0.500 0.500 0.362 1
As1 0.000 0.000 0.535 1
As2 0.500 0.500 0.703 1
```

***

In eV/atom, relative to the most stable structure: entry i 0.334; entry ii 0.000; entry iii 0.365.

***

Entry i
The following is a DFT calculation (PBEsol) of a relaxed Ba2MgAs crystal.

```
data_Ba2MgAs
_chemical_formula_sum 'Ba4 Mg2 As2'
_symmetry_space_group_name_H-M 'C m m 2'
_symmetry_Int_Tables_number 35
_cell_length_a 5.460
_cell_length_b 5.648
_cell_length_c 9.412
_cell_angle_alpha 90.00
_cell_angle_beta 90.00
_cell_angle_gamma 90.00
loop_
_symmetry_equiv_pos_as_xyz
'x,y,z'
'-x,-y,z'
'-x,y,z'
'x,-y,z'
'x+1/2,y+1/2,z'
'-x+1/2,-y+1/2,z'
'-x+1/2,y+1/2,z'
'x+1/2,-y+1/2,z'
loop_
_atom_site_label
_atom_site_fract_x
_atom_site_fract_y
_atom_site_fract_z
_atom_site_occupancy
Ba1 0.000 0.000 0.000 1
Ba2 0.000 0.500 0.421 1
Mg1 0.000 0.000 0.667 1
As1 0.000 0.500 0.788 1
```

***

Entry ii
The following is a DFT calculation (PBEsol) of a relaxed Ba2MgAs crystal.

```
data_Ba2MgAs
_chemical_formula_sum 'Ba4 Mg2 As2'
_symmetry_space_group_name_H-M 'I -4 m 2'
_symmetry_Int_Tables_number 119
_symmetry_space_group_name_Hall 'I -4 -2'
_cell_length_a 4.821
_cell_length_b 4.821
_cell_length_c 11.158
_cell_angle_alpha 90.00
_cell_angle_beta 90.00
_cell_angle_gamma 90.00
loop_
_atom_site_label
_atom_site_fract_x
_atom_site_fract_y
_atom_site_fract_z
_atom_site_occupancy
Ba1 0.000 0.000 0.000 1
Ba2 0.000 0.500 0.250 1
Mg1 0.000 0.000 0.500 1
As1 0.000 0.500 0.750 1
```

***

In eV/atom, relative to the most stable structure: entry i 0.047; entry ii 0.000.

***

Entry i
The following is a DFT calculation (PBEsol) of a relaxed BaAs2Os crystal.

```
data_BaAs2Os
_chemical_formula_sum 'Ba2 As4 Os2'
_symmetry_space_group_name_H-M 'C m m m'
_symmetry_Int_Tables_number 65
_symmetry_space_group_name_Hall '-C 2 2'
_cell_length_a 6.024
_cell_length_b 7.815
_cell_length_c 3.616
_cell_angle_alpha 90.00
_cell_angle_beta 90.00
_cell_angle_gamma 90.00
loop_
_atom_site_label
_atom_site_fract_x
_atom_site_fract_y
_atom_site_fract_z
_atom_site_occupancy
Ba1 0.000 0.000 0.000 1
As1 0.250 0.250 0.500 1
Os1 0.000 0.500 0.000 1
```

***

Entry ii
The following is a DFT calculation (PBEsol) of a relaxed BaAs2Os crystal.

```
data_BaAs2Os
_chemical_formula_sum 'Ba1 As2 Os1'
_symmetry_space_group_name_H-M 'P 4 m m'
_symmetry_Int_Tables_number 99
_cell_length_a 3.383
_cell_length_b 3.383
_cell_length_c 7.443
_cell_angle_alpha 90.00
_cell_angle_beta 90.00
_cell_angle_gamma 90.00
loop_
_symmetry_equiv_pos_as_xyz
'x,y,z'
'-y,x,z'
'-x,-y,z'
'y,-x,z'
'-x,y,z'
'y,x,z'
'x,-y,z'
'-y,-x,z'
loop_
_atom_site_label
_atom_site_fract_x
_atom_site_fract_y
_atom_site_fract_z
_atom_site_occupancy
Ba1 0.000 0.000 0.000 1
As1 0.000 0.000 0.463 1
As2 0.500 0.500 0.683 1
Os1 0.500 0.500 0.340 1
```

***

In eV/atom, relative to the most stable structure: entry i 0.513; entry ii 0.000.

***

Entry i
The following is a DFT calculation (PBEsol) of a relaxed Ba2As2Pb crystal.

```
data_Ba2As2Pb
_chemical_formula_sum 'Ba4 As4 Pb2'
_symmetry_space_group_name_H-M 'I 4/m m m'
_symmetry_Int_Tables_number 139
_symmetry_space_group_name_Hall '-I 4 2'
_cell_length_a 5.580
_cell_length_b 5.580
_cell_length_c 11.328
_cell_angle_alpha 90.00
_cell_angle_beta 90.00
_cell_angle_gamma 90.00
loop_
_atom_site_label
_atom_site_fract_x
_atom_site_fract_y
_atom_site_fract_z
_atom_site_occupancy
Ba1 0.000 0.500 0.250 1
As1 0.000 0.000 0.105 1
Pb1 0.000 0.000 0.500 1
```

***

Entry ii
The following is a DFT calculation (PBEsol) of a relaxed Ba2As2Pb crystal.

```
data_Ba2As2Pb
_chemical_formula_sum 'Ba4 As4 Pb2'
_symmetry_space_group_name_H-M 'P 4/m b m'
_symmetry_Int_Tables_number 127
_symmetry_space_group_name_Hall '-P 4 2ab'
_cell_length_a 7.978
_cell_length_b 7.978
_cell_length_c 4.811
_cell_angle_alpha 90.00
_cell_angle_beta 90.00
_cell_angle_gamma 90.00
loop_
_atom_site_label
_atom_site_fract_x
_atom_site_fract_y
_atom_site_fract_z
_atom_site_occupancy
Ba1 0.181 0.319 0.000 1
As1 0.112 0.612 0.500 1
Pb1 0.000 0.000 0.500 1
```

***

In eV/atom, relative to the most stable structure: entry i 0.515; entry ii 0.000.

***

Entry i
The following is a DFT calculation (PBEsol) of a relaxed Ba2AsPb crystal.

```
data_Ba2AsPb
_chemical_formula_sum 'Ba4 As2 Pb2'
_symmetry_space_group_name_H-M 'C m m m'
_symmetry_Int_Tables_number 65
_symmetry_space_group_name_Hall '-C 2 2'
_cell_length_a 7.544
_cell_length_b 7.608
_cell_length_c 4.636
_cell_angle_alpha 90.00
_cell_angle_beta 90.00
_cell_angle_gamma 90.00
loop_
_atom_site_label
_atom_site_fract_x
_atom_site_fract_y
_atom_site_fract_z
_atom_site_occupancy
Ba1 0.250 0.250 0.000 1
As1 0.000 0.000 0.500 1
Pb1 0.000 0.500 0.500 1
```

***

Entry ii
The following is a DFT calculation (PBEsol) of a relaxed Ba2AsPb crystal.

```
data_Ba2AsPb
_chemical_formula_sum 'Ba8 As4 Pb4'
_symmetry_space_group_name_H-M 'F m -3 m'
_symmetry_Int_Tables_number 225
_symmetry_space_group_name_Hall '-F 4 2 3'
_cell_length_a 8.188
_cell_length_b 8.188
_cell_length_c 8.188
_cell_angle_alpha 90.00
_cell_angle_beta 90.00
_cell_angle_gamma 90.00
loop_
_atom_site_label
_atom_site_fract_x
_atom_site_fract_y
_atom_site_fract_z
_atom_site_occupancy
Ba1 0.250 0.250 0.250 1
As1 0.000 0.000 0.000 1
Pb1 0.000 0.000 0.500 1
```

***

In eV/atom, relative to the most stable structure: entry i 0.000; entry ii 0.078.

***

Entry i
The following is a DFT calculation (PBEsol) of a relaxed BaReAs crystal.

```
data_BaReAs
_chemical_formula_sum 'Ba1 Re1 As1'
_symmetry_space_group_name_H-M 'P -6 m 2'
_symmetry_Int_Tables_number 187
_symmetry_space_group_name_Hall 'P -6 2'
_cell_length_a 4.1767
_cell_length_b 4.1767
_cell_length_c 5.0966
_cell_angle_alpha 90.00
_cell_angle_beta 90.00
_cell_angle_gamma 120.00
loop_
_atom_site_label
_atom_site_fract_x
_atom_site_fract_y
_atom_site_fract_z
_atom_site_occupancy
Ba1 0.0000 0.0000 0.0000 1
Re1 0.3333 0.6667 0.5000 1
As1 0.6667 0.3333 0.5000 1
```

***

Entry ii
The following is a DFT calculation (PBEsol) of a relaxed BaReAs crystal.

```
data_BaReAs
_chemical_formula_sum 'Ba2 Re2 As2'
_symmetry_space_group_name_H-M 'I 4 m m'
_symmetry_Int_Tables_number 107
_symmetry_space_group_name_Hall 'I 4 -2'
_cell_length_a 3.322
_cell_length_b 3.322
_cell_length_c 11.920
_cell_angle_alpha 90.00
_cell_angle_beta 90.00
_cell_angle_gamma 90.00
loop_
_atom_site_label
_atom_site_fract_x
_atom_site_fract_y
_atom_site_fract_z
_atom_site_occupancy
Ba1 0.000 0.000 0.000 1
Re1 0.000 0.000 0.298 1
As1 0.000 0.000 0.715 1
```

***

In eV/atom, relative to the most stable structure: entry i 0.000; entry ii 0.023.

***

Entry i
The following is a DFT calculation (PBEsol) of a relaxed BaSbAs crystal.

```
data_BaSbAs
_chemical_formula_sum 'Ba1 Sb1 As1'
_symmetry_space_group_name_H-M 'P 3 m 1'
_symmetry_Int_Tables_number 156
_cell_length_a 4.8180
_cell_length_b 4.8180
_cell_length_c 4.7086
_cell_angle_alpha 90.00
_cell_angle_beta 90.00
_cell_angle_gamma 120.00
loop_
_symmetry_equiv_pos_as_xyz
'x,y,z'
'-y,x-y,z'
'-x+y,-x,z'
'-y,-x,z'
'-x+y,y,z'
'x,x-y,z'
loop_
_atom_site_label
_atom_site_fract_x
_atom_site_fract_y
_atom_site_fract_z
_atom_site_occupancy
Ba1 0.0000 0.0000 0.0000 1
Sb1 0.3333 0.6667 0.5315 1
As1 0.6667 0.3333 0.4487 1
```

***

Entry ii
The following is a DFT calculation (PBEsol) of a relaxed BaSbAs crystal.

```
data_BaSbAs
_chemical_formula_sum 'Ba2 Sb2 As2'
_symmetry_space_group_name_H-M 'P 1 21/m 1'
_symmetry_Int_Tables_number 11
_cell_length_a 4.573
_cell_length_b 4.295
_cell_length_c 9.826
_cell_angle_alpha 90.00
_cell_angle_beta 101.94
_cell_angle_gamma 90.00
loop_
_symmetry_equiv_pos_as_xyz
'x,y,z'
'-x,-y,-z'
'-x,y+1/2,-z'
'x,-y+1/2,z'
loop_
_atom_site_label
_atom_site_fract_x
_atom_site_fract_y
_atom_site_fract_z
_atom_site_occupancy
Ba1 0.091 0.250 0.202 1
Sb1 0.289 0.750 0.510 1
As1 0.471 0.250 0.931 1
```

***

In eV/atom, relative to the most stable structure: entry i 0.062; entry ii 0.000.

***

Entry i
The following is a DFT calculation (PBEsol) of a relaxed BaSnAs2Se crystal.

```
data_BaSnAs2Se
_chemical_formula_sum 'Ba1 Sn1 As2 Se1'
_symmetry_space_group_name_H-M 'P 4/m m m'
_symmetry_Int_Tables_number 123
_symmetry_space_group_name_Hall '-P 4 2'
_cell_length_a 5.628
_cell_length_b 5.628
_cell_length_c 5.750
_cell_angle_alpha 90.00
_cell_angle_beta 90.00
_cell_angle_gamma 90.00
loop_
_atom_site_label
_atom_site_fract_x
_atom_site_fract_y
_atom_site_fract_z
_atom_site_occupancy
Ba1 0.000 0.000 0.000 1
Sn1 0.500 0.500 0.500 1
As1 0.000 0.500 0.000 1
Se1 0.000 0.000 0.500 1
```

***

Entry ii
The following is a DFT calculation (PBEsol) of a relaxed BaSnAs2Se crystal.

```
data_BaSnAs2Se
_chemical_formula_sum 'Ba1 Sn1 As2 Se1'
_symmetry_space_group_name_H-M 'P 4/m m m'
_symmetry_Int_Tables_number 123
_symmetry_space_group_name_Hall '-P 4 2'
_cell_length_a 5.218
_cell_length_b 5.218
_cell_length_c 5.408
_cell_angle_alpha 90.00
_cell_angle_beta 90.00
_cell_angle_gamma 90.00
loop_
_atom_site_label
_atom_site_fract_x
_atom_site_fract_y
_atom_site_fract_z
_atom_site_occupancy
Ba1 0.000 0.000 0.000 1
Sn1 0.500 0.500 0.500 1
As1 0.000 0.500 0.500 1
Se1 0.500 0.500 0.000 1
```

***

In eV/atom, relative to the most stable structure: entry i 1.084; entry ii 0.000.